Record 1
DyHfSe | PBE | optimized geometry

Geometry as POSCAR:
```
DyHfSe
1.0
3.5625 0.0000 0.0000
1.7812 3.0852 0.0000
1.7812 1.0284 14.8106
Hf Se Dy
2 2 2
Cartesian
3.5625 2.0568 3.1844
3.5625 2.0568 11.6263
1.7812 1.0284 1.5524
5.3437 3.0852 13.2583
5.3437 3.0852 5.8453
1.7812 1.0284 8.9654
```

Properties
The space group is No. 166. As for the uncorrected formation energy: -453 meV/atom. The calculation puts the total moment at 0.002 Bohr magnetons per cell. For the total energy, the calculation gives -6.467 eV per atom.


Record 2
Dy2HfTl2Se6 | PBE | optimized geometry

Geometry as POSCAR:
```
Dy2HfTl2Se6
1.0
-2.1023 -4.2663 -5.1477
6.7807 1.6749 0.5796
-0.4742 -5.3140 6.2482
Dy Hf Tl Se
2 1 2 6
Cartesian
3.5912 -2.9567 1.8001
0.6129 -4.9487 -0.1201
-0.2371 -2.6570 3.1241
-0.5912 -3.2556 -4.1734
5.2696 0.6643 -0.3947
3.1969 -5.6743 0.9279
2.1284 -3.3729 4.2323
1.0073 -2.2311 0.7521
-0.6641 -5.2406 2.4319
2.0758 -4.5325 -2.5522
4.8682 -2.6648 -0.7518
```

Properties
The space group is No. 12. As for the uncorrected formation energy: -1373 meV/atom. The calculation puts the total moment at 0.000 Bohr magnetons per cell. For the total energy, the calculation gives -5.446 eV per atom.


Record 3
DyHfSi2 | PBE | optimized geometry

Geometry as POSCAR:
```
DyHfSi2
1.0
-3.6048 0.8654 -1.1491
-2.6755 -2.7988 -0.2695
-3.8400 0.4203 5.8079
Si Hf Dy
2 1 1
Cartesian
-7.6295 -1.1108 3.4332
-2.4908 -0.4022 0.9561
0.0000 0.0000 0.0000
-5.0602 -0.7565 2.1946
```

Properties
The space group is No. 166. As for the uncorrected formation energy: -542 meV/atom. The calculation puts the total moment at 0.000 Bohr magnetons per cell. For the total energy, the calculation gives -6.892 eV per atom.


Record 4
Dy3HfSi6 | PBE | optimized geometry

Geometry as POSCAR:
```
Dy3HfSi6
1.0
7.3211 -0.0280 -0.9221
-1.0421 7.2466 -0.9221
-0.0244 -0.0280 7.3789
Dy Hf Si
6 2 12
Cartesian
0.5663 5.4210 1.4609
2.0938 1.3119 5.0731
1.0964 4.9353 5.1504
5.1582 2.2553 0.3843
4.1609 5.8788 0.4616
5.6884 1.7696 4.0738
0.0000 0.0000 0.0000
3.1273 3.5953 2.7673
5.9844 4.4762 5.8425
0.0170 0.6437 2.6686
0.4765 2.9516 3.0754
2.7260 0.1060 0.3057
2.4922 3.4895 0.0987
2.8545 6.3098 3.0731
3.4002 0.8809 2.4616
3.7625 3.7012 5.4360
3.5286 7.0846 5.2290
5.7782 4.2390 2.4593
6.2377 6.5469 2.8661
0.2703 2.7145 -0.3078
```

Properties
The space group is No. 167. As for the uncorrected formation energy: -614 meV/atom. The calculation puts the total moment at 0.000 Bohr magnetons per cell. For the total energy, the calculation gives -6.244 eV per atom.


Record 5
SmDy2Hf | PBE | optimized geometry

Geometry as POSCAR:
```
SmDy2Hf
1.0
-0.8899 3.4505 -1.7957
0.9417 -1.5962 -3.5338
-6.9900 -2.2446 -0.8489
Hf Sm Dy
1 1 2
Cartesian
0.0259 0.9271 -2.6648
-3.4691 -0.1952 -3.0892
-5.4643 -1.7547 -0.6636
-1.5257 -0.4899 -0.1853
```

Properties
The space group is No. 123. The calculation puts the total moment at 0.000 Bohr magnetons per cell. For the total energy, the calculation gives -5.744 eV per atom. For the formation energy, the calculation gives 21.7 kJ per mole of atoms.


Record 6
SmDy2Hf | PBE | optimized geometry

Geometry as POSCAR:
```
SmDy2Hf
1.0
4.8850 0.0000 0.0000
0.0000 4.8586 0.0000
0.0000 0.0000 4.8586
Hf Sm Dy
1 1 2
Cartesian
2.4425 0.0000 0.0000
2.4425 2.4293 2.4293
0.0000 0.0000 2.4293
0.0000 2.4293 0.0000
```

Properties
The space group is No. 123. The calculation puts the total moment at 0.000 Bohr magnetons per cell. For the total energy, the calculation gives -5.816 eV per atom. For the formation energy, the calculation gives 14.8 kJ per mole of atoms.


> Number 6 is which compound?

SmDy2Hf


> Which value of total moment does entry 2 give?

0.000 Bohr magnetons per cell


> Which value of total moment does entry 2 give?

0.000 Bohr magnetons per cell


> Which formula does entry 1 have?

DyHfSe